Computed, not measured: a geometry-optimized VCdNF2 structure at the PBE+U level of DFT.

Cell lengths 4.0547, 4.0547, 3.9676 Å; angles 90.00, 90.00, 90.00 degrees
With the nearest neighbours (Å) after each atom.
Sites, in units of the cell vectors:
V1 0.0000 0.0000 0.0000  2 N 1.98, 4 F 2.03
Cd1 0.5000 0.5000 0.5000  8 F 2.84, 4 N 2.87
N1 0.0000 0.0000 0.5000  2 V 1.98
F1 0.0000 0.5000 0.0000  2 V 2.03
F2 0.5000 0.0000 0.0000  2 V 2.03

Computed properties:
relative energy among the computed polymorphs = 0 meV per atom
theoretical density = 5.48 g/cm³
magnetization = 1.77 μB per cell